1.
# Pr2ErAs3Pt4, relaxed, DFT GGA-PBE
# V, Å³ per atom: 21.02
# Energy of formation, eV/atom: -0.97
data_Pr2ErAs3Pt4
_chemical_formula_sum 'Pr2 Er1 As3 Pt4'
_cell_length_a 4.3119
_cell_length_b 4.3119
_cell_length_c 11.3046
_cell_angle_alpha 90.00
_cell_angle_beta 90.00
_cell_angle_gamma 90.00
_symmetry_space_group_name_H-M 'P -4 m 2'
_symmetry_Int_Tables_number 115
loop_
_symmetry_equiv_pos_as_xyz
'x,y,z'
'y,-x,-z'
'-x,-y,z'
'-y,x,-z'
'-x,y,z'
'-y,-x,-z'
'x,-y,z'
'y,x,-z'
loop_
_atom_site_label
_atom_site_fract_x
_atom_site_fract_y
_atom_site_fract_z
Pr1 0.0000 0.5000 0.2159
Er1 0.0000 0.0000 0.5000
As1 0.0000 0.5000 0.8715
As2 0.5000 0.5000 0.5000
Pt1 0.0000 0.0000 0.0000
Pt2 0.0000 0.5000 0.6530
Pt3 0.5000 0.5000 0.0000

=====

2.
# ZnAsSe2F, relaxed, DFT GGA-PBE
# V, Å³ per atom: 20.73
# Distance to the lowest polymorph of the same formula, meV/atom: 0
data_ZnAsSe2F
_chemical_formula_sum 'Zn1 As1 Se2 F1'
_cell_length_a 5.0824
_cell_length_b 5.0824
_cell_length_c 4.0124
_cell_angle_alpha 90.00
_cell_angle_beta 90.00
_cell_angle_gamma 90.00
_symmetry_space_group_name_H-M 'P 4/m m m'
_symmetry_Int_Tables_number 123
_symmetry_space_group_name_Hall '-P 4 2'
loop_
_atom_site_label
_atom_site_fract_x
_atom_site_fract_y
_atom_site_fract_z
Zn1 0.0000 0.0000 0.0000
As1 0.5000 0.5000 0.0000
Se1 0.0000 0.5000 0.5000
F1 0.5000 0.5000 0.5000

=====

3.
# LiAu4Se4Cl4O12, relaxed, DFT GGA-PBE
# V, Å³ per atom: 20.93
# Distance to the lowest polymorph of the same formula, meV/atom: 4
data_LiAu4Se4Cl4O12
_chemical_formula_sum 'Li1 Au4 Se4 Cl4 O12'
_cell_length_a 4.7719
_cell_length_b 10.0652
_cell_length_c 11.0001
_cell_angle_alpha 96.50
_cell_angle_beta 93.20
_cell_angle_gamma 93.04
_symmetry_space_group_name_H-M 'P 1'
_symmetry_Int_Tables_number 1
loop_
_symmetry_equiv_pos_as_xyz
'x,y,z'
loop_
_atom_site_label
_atom_site_fract_x
_atom_site_fract_y
_atom_site_fract_z
Li1 0.0000 0.0000 0.0000
Au1 0.4746 0.9024 0.1716
Au2 0.5010 0.5004 0.9996
Au3 0.5020 0.5003 0.4996
Au4 0.5280 0.0984 0.8276
Se1 0.2297 0.3702 0.7325
Se2 0.3777 0.7799 0.8817
Se3 0.6238 0.2209 0.1176
Se4 0.7735 0.6305 0.2666
Cl1 0.1904 0.0110 0.6770
Cl2 0.2369 0.3005 0.4505
Cl3 0.7673 0.7001 0.5488
Cl4 0.8144 0.9900 0.3214
O1 0.1660 0.4601 0.8720
O2 0.2039 0.8340 0.0144
O3 0.3695 0.0875 0.1190
O4 0.3774 0.3223 0.0628
O5 0.4106 0.5064 0.6776
O6 0.4724 0.7126 0.2263
O7 0.5306 0.2882 0.7731
O8 0.5932 0.4942 0.3216
O9 0.6243 0.6785 0.9363
O10 0.6321 0.9134 0.8803
O11 0.7979 0.1666 0.9850
O12 0.8364 0.5406 0.1269

=====

In the order shown, the computed magnetic moment values come out to 0.000 0.000 0.000 μB per atom.
In the order shown, the computed theoretical density values come out to 11.49 5.08 4.58 g/cm³.